1.
The following is a PBE-GGA calculation of a geometry-optimized Hf4TiBi2 structure, from Alexandria via LeMat-Bulk.

The space group is P2_1/m (No. 11) and the conventional cell measures 7.555, 6.008 and 7.851 Å, with angles of 90.00, 115.50 and 90.00 degrees. The inequivalent atoms are Hf at (0.011, 0.250, 0.007), Hf at (0.155, 0.501, 0.728), Hf at (0.289, 0.250, 0.441), Ti at (0.414, 0.750, 0.156), Bi at (0.242, 0.750, 0.416) and Bi at (0.433, 0.250, 0.119).

For the volume, the calculation gives 23.0 Å³/atom. The value obtained for the magnetization is 0.0 μB per formula unit. As for the raw total energy: -7.90 eV/atom. For the formation enthalpy at 0 K, the calculation gives 0.024 eV/atom.


2.
The following is a PBE-GGA calculation of a geometry-optimized VPHRuS structure, from Alexandria via LeMat-Bulk.

The space group is R3m (No. 160, hexagonal axes) and the conventional cell measures 3.2144, 3.2144 and 20.4513 Å, with angles of 90.00, 90.00 and 120.00 degrees. The inequivalent atoms are V at (0.0000, 0.0000, 0.0000), P at (0.0000, 0.0000, 0.7408), H at (0.0000, 0.0000, 0.4978), Ru at (0.0000, 0.0000, 0.1460) and S at (0.0000, 0.0000, 0.2625).

As for the energy above the most stable polymorph in this dataset: 1.8 kJ/mol of atoms. For the volume, the calculation gives 12.2 Å³/atom. The value obtained for the magnetization is 0.0 μB per formula unit. As for the raw total energy: -6.72 eV/atom.


3.
The following is a PBE-GGA calculation of a geometry-optimized Rb2Dy3Te6 structure, from Alexandria via LeMat-Bulk.

The space group is C2/m (No. 12) and the conventional cell measures 7.569, 13.110 and 9.304 Å, with angles of 90.00, 105.77 and 90.00 degrees. The inequivalent atoms are Rb at (0.000, 0.166, 0.000), Dy at (0.000, 0.000, 0.500), Dy at (0.000, 0.332, 0.500), Te at (0.231, 0.500, 0.699) and Te at (0.235, 0.165, 0.700).

For the volume, the calculation gives 40.4 Å³/atom. The value obtained for the magnetization is 0.0 μB per formula unit. As for the raw total energy: -4.44 eV/atom. The raw formation energy is -1293 meV/atom.


4.
The following is a PBE-GGA calculation of a geometry-optimized CaTi2InTc structure, from Alexandria via LeMat-Bulk.

The space group is P4/mmm (No. 123) and the conventional cell measures 4.734, 4.734 and 5.512 Å, with angles of 90.00, 90.00 and 90.00 degrees. The inequivalent atoms are Ca at (0.000, 0.000, 0.000), Ti at (0.000, 0.500, 0.500), In at (0.500, 0.500, 0.000) and Tc at (0.000, 0.000, 0.500).

For the volume, the calculation gives 24.7 Å³/atom. The value obtained for the magnetization is 0.8 μB per formula unit. As for the raw total energy: -5.73 eV/atom. For the formation enthalpy at 0 K, the calculation gives 0.452 eV/atom.


5.
The following is a PBE-GGA calculation of a geometry-optimized PmMgScSn structure, from Alexandria via LeMat-Bulk.

The space group is F-43m (No. 216) and the conventional cell measures 7.378, 7.378 and 7.378 Å, with angles of 90.00, 90.00 and 90.00 degrees. The inequivalent atoms are Pm at (0.000, 0.000, 0.000), Mg at (0.250, 0.250, 0.750), Sc at (0.000, 0.000, 0.500) and Sn at (0.250, 0.250, 0.250).

For the volume, the calculation gives 25.1 Å³/atom. The value obtained for the magnetization is 0.0 μB per formula unit. As for the raw total energy: -4.55 eV/atom. For the formation enthalpy at 0 K, the calculation gives -0.381 eV/atom.


6.
The following is a PBE-GGA calculation of a geometry-optimized BaTmIn2 structure, from Alexandria via LeMat-Bulk.

The space group is P4/mmm (No. 123) and the conventional cell measures 5.751, 5.751 and 3.861 Å, with angles of 90.00, 90.00 and 90.00 degrees. The inequivalent atoms are Ba at (0.000, 0.000, 0.000), Tm at (0.500, 0.500, 0.000) and In at (0.000, 0.500, 0.500).

For the volume, the calculation gives 31.9 Å³/atom. The value obtained for the magnetization is 0.0 μB per formula unit. As for the raw total energy: -3.21 eV/atom. For the formation enthalpy at 0 K, the calculation gives -0.237 eV/atom.


7.
The following is a PBE-GGA calculation of a geometry-optimized Dy3Zn6Ag20 structure, from Alexandria via LeMat-Bulk.

The space group is Fm-3m (No. 225) and the conventional cell measures 13.030, 13.030 and 13.030 Å, with angles of 90.00, 90.00 and 90.00 degrees. The inequivalent atoms are Dy at (0.000, 0.000, 0.000), Dy at (0.250, 0.250, 0.250), Zn at (0.000, 0.000, 0.266), Ag at (0.000, 0.175, 0.175) and Ag at (0.118, 0.118, 0.382).

For the volume, the calculation gives 19.1 Å³/atom. The value obtained for the magnetization is 0.0 μB per formula unit. As for the raw total energy: -2.74 eV/atom. For the formation enthalpy at 0 K, the calculation gives -0.032 eV/atom.


8.
The following is a PBE-GGA calculation of a geometry-optimized LiDyPaGa structure, from Alexandria via LeMat-Bulk.

The space group is F-43m (No. 216) and the conventional cell measures 7.105, 7.105 and 7.105 Å, with angles of 90.00, 90.00 and 90.00 degrees. The inequivalent atoms are Li at (0.000, 0.000, 0.000), Dy at (0.250, 0.250, 0.250), Pa at (0.250, 0.250, 0.750) and Ga at (0.000, 0.000, 0.500).

For the volume, the calculation gives 22.4 Å³/atom. The value obtained for the magnetization is 0.0 μB per formula unit. As for the raw total energy: -4.73 eV/atom. For the formation enthalpy at 0 K, the calculation gives 0.030 eV/atom.